{
  "formula": "TlCoRe",
  "functional": "PBE",
  "state": "optimized geometry",
  "lattice": [[4.4409, 0.0000, 0.0000], [-2.2204, 3.8459, 0.0000], [0.0000, 0.0000, 2.8102]],
  "species": ["Tl", "Co", "Re"],
  "fractional_positions": [[0.0000, 0.0000, 0.0000], [0.6667, 0.3333, 0.0000], [0.3333, 0.6667, 0.5000]],
  "e_form_ev_per_fu": 2.921,
  "space_group": "P-6m2 (187)",
  "m_tot_mub_per_fu": 1.5
}